Entry from Alexandria via LeMat-Bulk: crystalline Mg2FeAsO6 at its relaxed geometry (PBE+U).

```
10
Lattice="-3.238 3.891 0.568 -4.975 -0.897 0.622 -2.148 0.835 4.872" Properties=species:S:1:pos:R:3 pbc="T T T"
Mg -5.230 1.928 2.654
Mg -2.187 0.846 4.577
Fe -7.876 2.901 3.745
As -2.711 0.991 0.596
O -3.459 2.285 1.670
O -5.988 0.160 1.925
O -6.540 3.421 2.117
O -6.474 1.701 4.419
O -4.436 3.222 4.206
O -4.156 0.688 4.077
```

* VASP energy: -6.22 eV/atom
* crystal system: trigonal
* space group: No. 146
* magnetization: 4.99 μB per cell